Entry 1:
{
  "formula": "KTcRh2",
  "functional": "meta-GGA SCAN",
  "state": "PBEsol geometry",
  "lattice": [[-2.024, 2.024, 3.867], [2.024, -2.024, 3.867], [2.024, 2.024, -3.867]],
  "species": ["K", "Tc", "Rh", "Rh"],
  "frac_coords": [[0.000, 0.000, 0.000], [0.250, 0.750, 0.500], [0.500, 0.500, 0.000], [0.750, 0.250, 0.500]],
  "volume_a3_per_fu": 63.4,
  "formation_energy_ev_per_atom": 1.223
}

=====

Entry 2:
{
  "formula": "Ca4Zr3TaO12",
  "functional": "meta-GGA SCAN",
  "state": "PBEsol geometry",
  "lattice": [[5.543, 0.000, 0.000], [-0.008, 5.724, 0.000], [0.000, -0.046, 7.946]],
  "species": ["Ca", "Ca", "Ca", "Ca", "Zr", "Zr", "Zr", "Ta", "O", "O", "O", "O", "O", "O", "O", "O", "O", "O", "O", "O"],
  "frac_coords": [[0.013, 0.052, 0.251], [0.487, 0.552, 0.252], [0.513, 0.448, 0.748], [0.987, 0.948, 0.749], [0.000, 0.500, 0.000], [0.500, 0.000, 0.000], [0.500, 0.000, 0.500], [0.000, 0.500, 0.500], [0.099, 0.535, 0.743], [0.192, 0.804, 0.055], [0.197, 0.787, 0.447], [0.290, 0.299, 0.448], [0.307, 0.304, 0.057], [0.394, 0.039, 0.750], [0.606, 0.961, 0.250], [0.693, 0.696, 0.943], [0.710, 0.701, 0.552], [0.803, 0.213, 0.553], [0.808, 0.196, 0.945], [0.901, 0.465, 0.257]],
  "volume_a3_per_fu": 252.1,
  "raw_formation_energy_kj_per_mol_fu": -6715
}

=====

Entry 3:
{
  "formula": "Zr2Pd",
  "functional": "meta-GGA SCAN",
  "state": "PBEsol geometry",
  "lattice": [[-1.653, 1.653, 5.300], [1.653, -1.653, 5.300], [1.653, 1.653, -5.300]],
  "species": ["Zr", "Zr", "Pd"],
  "frac_coords": [[0.156, 0.156, 0.000], [0.844, 0.844, 0.000], [0.500, 0.500, 0.000]],
  "volume_a3_per_fu": 57.9,
  "formation_energy_ev_per_atom": -0.545
}